i.
First-principles (PBE) data for a relaxed SiSnSbTe2 crystal, as listed in the Alexandria database.

Structure (POSCAR):
```
SiSnSbTe2
1.0
5.641 0.000 0.000
0.000 5.641 0.000
0.000 0.000 5.642
Si Sn Sb Te
1 1 1 2
direct
0.000 0.000 0.000
0.500 0.500 0.500
0.500 0.500 0.000
0.000 0.500 0.500
0.500 0.000 0.500
```

***

ii.
First-principles (PBE) data for a relaxed SiSnSbTe2 crystal, as listed in the Alexandria database.

Structure (POSCAR):
```
SiSnSbTe2
1.0
5.284 0.000 0.000
0.000 5.284 0.000
0.000 0.000 5.293
Si Sn Sb Te
1 1 1 2
direct
0.000 0.000 0.000
0.500 0.500 0.500
0.000 0.000 0.500
0.000 0.500 0.000
0.500 0.000 0.000
```

***

Ranking the structures above by energy, ii is first and the second is 0.589 eV/atom behind.